Entry 1:
Compound: Mg5ZnPd4
Source: Alexandria via LeMat-Bulk
Functional: PBE
Structure: relaxed

It has space group P4/mmm (No. 123), with a = 3.223 Å, b = 3.223 Å, c = 15.847 Å, α = 90.00°, β = 90.00° and γ = 90.00°. The inequivalent atoms are Mg at (0.000, 0.000, 0.000), Mg at (0.000, 0.000, 0.196), Mg at (0.000, 0.000, 0.392), Zn at (0.500, 0.500, 0.500), Pd at (0.500, 0.500, 0.097) and Pd at (0.500, 0.500, 0.295).

The value obtained for the total magnetic moment is 0.00 μB per formula unit. Its energy is -3.623 eV per atom. The formation energy is -621 meV/atom. Its density of states at the Fermi level is 3.22 states/eV/cell.

---

Entry 2:
Compound: Pr3CBr3
Source: Alexandria via LeMat-Bulk
Functional: PBE
Structure: relaxed

It has space group I4_132 (No. 214), with a = 11.551 Å, b = 11.551 Å, c = 11.551 Å, α = 90.00°, β = 90.00° and γ = 90.00°. The inequivalent atoms are Pr at (0.105, 0.355, 0.125), C at (0.125, 0.125, 0.125) and Br at (0.115, 0.135, 0.625).

The value obtained for the total magnetic moment is 0.00 μB per formula unit. The value obtained for the relative energy among the computed polymorphs is 13.9 meV per atom. Its energy is -5.350 eV per atom. As for the raw formation energy: -1266.6 meV per atom. Its density of states at the Fermi level is 22.17 states/eV/cell.

---

Entry 3:
Compound: ReAu3
Source: Alexandria via LeMat-Bulk
Functional: PBE
Structure: relaxed

It has space group Pm-3n (No. 223), with a = 5.261 Å, b = 5.261 Å, c = 5.261 Å, α = 90.00°, β = 90.00° and γ = 90.00°. The inequivalent atoms are Re at (0.000, 0.000, 0.000) and Au at (0.000, 0.250, 0.500).

The value obtained for the total magnetic moment is 3.38 μB per formula unit. Its energy is -4.773 eV per atom. The formation energy is 797 meV/atom. Its density of states at the Fermi level is 4.45 states/eV/cell.

---

Entry 4:
Compound: CuRhAu2
Source: Alexandria via LeMat-Bulk
Functional: PBE
Structure: relaxed

It has space group R3m (No. 160, hexagonal axes), with a = 2.8130 Å, b = 2.8130 Å, c = 27.7611 Å, α = 90.00°, β = 90.00° and γ = 120.00°. The inequivalent atoms are Cu at (0.0000, 0.0000, 0.0000), Rh at (0.0000, 0.0000, 0.2596), Au at (0.0000, 0.0000, 0.5071) and Au at (0.0000, 0.0000, 0.7465).

The value obtained for the total magnetic moment is 0.70 μB per formula unit. The value obtained for the relative energy among the computed polymorphs is 45.3 meV per atom. Its energy is -4.393 eV per atom. The formation energy is 108 meV/atom. Its density of states at the Fermi level is 8.54 states/eV/cell.

---

- Which of these has the highest total magnetic moment?
  ReAu3